Below is a relaxed MgAg2Hg crystal, with properties calculated at the PBE-GGA level.

a b c (Å): 5.285 5.285 5.285
angles (deg): 133.54 133.54 67.82
Positions (direct):
Mg 0.000 0.000 0.000
Ag 0.250 0.750 0.500
Ag 0.750 0.250 0.500
Hg 0.500 0.500 0.000

Summary:
E_tot	-2.03	eV per atom
crystal system	tetragonal
spin magnetization	0.00	μB per formula unit
DOS(E_F)	0.65	states/eV/cell